[1]
{
  "formula": "MgCoP4O12",
  "functional": "GGA+U",
  "state": "relaxed",
  "n_ef_per_ev_atom": 0.000,
  "mass_density_g_cm3": 3.00,
  "energy_ev_per_atom": -7.051,
  "space_group": "C2/c, No. 15",
  "lattice_angstrom": [[5.9654, -4.1858, 0.0000], [5.9654, 4.1858, 0.0000], [-4.8819, 0.0000, 8.8572]],
  "species": ["Mg", "Mg", "Co", "Co", "P", "P", "P", "P", "P", "P", "P", "P", "O", "O", "O", "O", "O", "O", "O", "O", "O", "O", "O", "O", "O", "O", "O", "O", "O", "O", "O", "O", "O", "O", "O", "O"],
  "frac_coords": [[0.0499, 0.9501, 0.7500], [0.9501, 0.0499, 0.2500], [0.0000, 0.5000, 0.5000], [0.5000, 0.0000, 0.0000], [0.2541, 0.7315, 0.0234], [0.2685, 0.7459, 0.4766], [0.2929, 0.3145, 0.8056], [0.3145, 0.2929, 0.3056], [0.6855, 0.7071, 0.6944], [0.7071, 0.6855, 0.1944], [0.7315, 0.2541, 0.5234], [0.7459, 0.2685, 0.9766], [0.0933, 0.8508, 0.0975], [0.1251, 0.2766, 0.3253], [0.1492, 0.9067, 0.4025], [0.1891, 0.3480, 0.6554], [0.1895, 0.7139, 0.5830], [0.2131, 0.5041, 0.9358], [0.2766, 0.1251, 0.8253], [0.2861, 0.8105, 0.9170], [0.3127, 0.5306, 0.3492], [0.3480, 0.1891, 0.1554], [0.4694, 0.6873, 0.1508], [0.4959, 0.7869, 0.5642], [0.5041, 0.2131, 0.4358], [0.5306, 0.3127, 0.8492], [0.6520, 0.8109, 0.8446], [0.6873, 0.4694, 0.6508], [0.7139, 0.1895, 0.0830], [0.7234, 0.8749, 0.1747], [0.7869, 0.4959, 0.0642], [0.8105, 0.2861, 0.4170], [0.8109, 0.6520, 0.3446], [0.8508, 0.0933, 0.5975], [0.8749, 0.7234, 0.6747], [0.9067, 0.1492, 0.9025]]
}

[2]
{
  "formula": "MgCo2P2O10",
  "functional": "GGA+U",
  "state": "relaxed",
  "n_ef_per_ev_atom": 0.413,
  "mass_density_g_cm3": 3.81,
  "energy_ev_per_atom": -6.408,
  "space_group": "Fddd, No. 70",
  "lattice_angstrom": [[0.0000, 5.4877, 8.1846], [3.5288, 0.0000, 8.1846], [3.5288, 5.4877, 0.0000]],
  "species": ["Mg", "Mg", "Co", "Co", "Co", "Co", "P", "P", "P", "P", "O", "O", "O", "O", "O", "O", "O", "O", "O", "O", "O", "O", "O", "O", "O", "O", "O", "O", "O", "O"],
  "frac_coords": [[0.1250, 0.1250, 0.1250], [0.8750, 0.8750, 0.8750], [0.0000, 0.5000, 0.5000], [0.5000, 0.0000, 0.5000], [0.5000, 0.5000, 0.0000], [0.5000, 0.5000, 0.5000], [0.0807, 0.0807, 0.6693], [0.3307, 0.3307, 0.9193], [0.6693, 0.6693, 0.0807], [0.9193, 0.9193, 0.3307], [0.0540, 0.2166, 0.4689], [0.1134, 0.4281, 0.1606], [0.1606, 0.7979, 0.1134], [0.2021, 0.8394, 0.5719], [0.2166, 0.0540, 0.7605], [0.2395, 0.5311, 0.7834], [0.2914, 0.2914, 0.4586], [0.4281, 0.1134, 0.7979], [0.4586, 0.4586, 0.2914], [0.4689, 0.7605, 0.0540], [0.5311, 0.2395, 0.9460], [0.5414, 0.5414, 0.7086], [0.5719, 0.8866, 0.2021], [0.7086, 0.7086, 0.5414], [0.7605, 0.4689, 0.2166], [0.7834, 0.9460, 0.2395], [0.7979, 0.1606, 0.4281], [0.8394, 0.2021, 0.8866], [0.8866, 0.5719, 0.8394], [0.9460, 0.7834, 0.5311]]
}

[3]
{
  "formula": "MgCoP2O",
  "functional": "GGA+U",
  "state": "relaxed",
  "n_ef_per_ev_atom": 0.696,
  "mass_density_g_cm3": 3.01,
  "energy_ev_per_atom": -3.903,
  "e_above_lowest_polymorph_mev_per_atom": 562.3,
  "space_group": "P4/mmm, No. 123",
  "lattice_angstrom": [[4.9568, 0.0000, 0.0000], [0.0000, 4.9568, 0.0000], [0.0000, 0.0000, 3.6177]],
  "species": ["Mg", "Co", "P", "P", "O"],
  "frac_coords": [[0.0000, 0.0000, 0.0000], [0.5000, 0.5000, 0.5000], [0.0000, 0.5000, 0.0000], [0.5000, 0.0000, 0.0000], [0.0000, 0.0000, 0.5000]]
}

[4]
{
  "formula": "MgCo2P2O8",
  "functional": "GGA+U",
  "state": "relaxed",
  "n_ef_per_ev_atom": 0.000,
  "mass_density_g_cm3": 3.34,
  "energy_ev_per_atom": -6.871,
  "space_group": "P2_1/c, No. 14",
  "lattice_angstrom": [[5.1037, 0.0000, 0.0000], [0.0000, 8.4075, 0.0000], [-4.4772, 0.0000, 7.7063]],
  "species": ["Mg", "Mg", "Co", "Co", "Co", "Co", "P", "P", "P", "P", "O", "O", "O", "O", "O", "O", "O", "O", "O", "O", "O", "O", "O", "O", "O", "O"],
  "frac_coords": [[0.0000, 0.0000, 0.0000], [0.0000, 0.5000, 0.5000], [0.0237, 0.1414, 0.6142], [0.0237, 0.3586, 0.1142], [0.9763, 0.6414, 0.8858], [0.9763, 0.8586, 0.3858], [0.3344, 0.6937, 0.2992], [0.3344, 0.8063, 0.7992], [0.6656, 0.1937, 0.2008], [0.6656, 0.3063, 0.7008], [0.1851, 0.6382, 0.7403], [0.1851, 0.8618, 0.2403], [0.1902, 0.5789, 0.1400], [0.1902, 0.9211, 0.6400], [0.2573, 0.6390, 0.4378], [0.2573, 0.8610, 0.9378], [0.3186, 0.1944, 0.1258], [0.3186, 0.3056, 0.6258], [0.6814, 0.6944, 0.3742], [0.6814, 0.8056, 0.8742], [0.7427, 0.1390, 0.0622], [0.7427, 0.3610, 0.5622], [0.8098, 0.0789, 0.3600], [0.8098, 0.4211, 0.8600], [0.8149, 0.1382, 0.7597], [0.8149, 0.3618, 0.2597]]
}

[5]
{
  "formula": "MgCoP2O",
  "functional": "GGA+U",
  "state": "relaxed",
  "n_ef_per_ev_atom": 0.339,
  "mass_density_g_cm3": 3.48,
  "energy_ev_per_atom": -4.465,
  "e_above_lowest_polymorph_mev_per_atom": 0.0,
  "space_group": "P4/mmm, No. 123",
  "lattice_angstrom": [[4.7433, 0.0000, 0.0000], [0.0000, 4.7433, 0.0000], [0.0000, 0.0000, 3.4221]],
  "species": ["Mg", "Co", "P", "P", "O"],
  "frac_coords": [[0.0000, 0.0000, 0.0000], [0.5000, 0.5000, 0.5000], [0.0000, 0.5000, 0.5000], [0.5000, 0.0000, 0.5000], [0.5000, 0.5000, 0.0000]]
}

[6]
{
  "formula": "MgPa2CoO8",
  "functional": "GGA+U",
  "state": "relaxed",
  "mass_density_g_cm3": 7.83,
  "energy_ev_per_atom": -7.730,
  "space_group": "P-3m1, No. 164",
  "lattice_angstrom": [[5.2292, 0.0000, 0.0000], [-2.6146, 4.5286, 0.0000], [0.0000, 0.0000, 6.0328]],
  "species": ["Mg", "Pa", "Pa", "Co", "O", "O", "O", "O", "O", "O", "O", "O"],
  "frac_coords": [[0.0000, 0.0000, 0.0000], [0.3333, 0.6667, 0.3572], [0.6667, 0.3333, 0.6428], [0.0000, 0.0000, 0.5000], [0.1654, 0.3309, 0.6776], [0.1654, 0.8346, 0.6776], [0.3309, 0.1654, 0.3224], [0.3333, 0.6667, 0.0493], [0.6667, 0.3333, 0.9507], [0.6691, 0.8346, 0.6776], [0.8346, 0.1654, 0.3224], [0.8346, 0.6691, 0.3224]]
}

[7]
{
  "formula": "MgPaCo2O8",
  "functional": "GGA+U",
  "state": "relaxed",
  "n_ef_per_ev_atom": 0.144,
  "mass_density_g_cm3": 5.39,
  "energy_ev_per_atom": -6.738,
  "space_group": "I-4m2, No. 119",
  "lattice_angstrom": [[-3.4705, 3.4705, 3.2078], [3.4705, -3.4705, 3.2078], [3.4705, 3.4705, -3.2078]],
  "species": ["Mg", "Pa", "Co", "Co", "O", "O", "O", "O", "O", "O", "O", "O"],
  "frac_coords": [[0.0000, 0.0000, 0.0000], [0.7500, 0.2500, 0.5000], [0.2500, 0.7500, 0.5000], [0.5000, 0.5000, 0.0000], [0.0655, 0.3855, 0.3200], [0.0655, 0.7455, 0.6800], [0.1222, 0.3120, 0.8102], [0.2545, 0.9345, 0.3200], [0.5017, 0.3120, 0.1898], [0.6145, 0.9345, 0.6800], [0.6880, 0.4983, 0.8102], [0.6880, 0.8778, 0.1898]]
}

[8]
{
  "formula": "Mg4PaCoO8",
  "functional": "GGA+U",
  "state": "relaxed",
  "n_ef_per_ev_atom": 0.000,
  "mass_density_g_cm3": 5.32,
  "energy_ev_per_atom": -6.789,
  "space_group": "R3m, No. 160",
  "lattice_angstrom": [[3.0194, 1.7432, 5.0964], [-3.0194, 1.7432, 5.0964], [0.0000, -3.4865, 5.0964]],
  "species": ["Mg", "Mg", "Mg", "Mg", "Pa", "Co", "O", "O", "O", "O", "O", "O", "O", "O"],
  "frac_coords": [[0.0000, 0.0000, 0.0000], [0.3584, 0.3584, 0.8839], [0.3584, 0.8839, 0.3584], [0.8839, 0.3584, 0.3584], [0.7267, 0.7267, 0.7267], [0.3664, 0.3664, 0.3664], [0.1273, 0.1273, 0.1273], [0.1402, 0.1402, 0.5925], [0.1402, 0.5925, 0.1402], [0.1472, 0.6012, 0.6012], [0.5925, 0.1402, 0.1402], [0.5945, 0.5945, 0.5945], [0.6012, 0.1472, 0.6012], [0.6012, 0.6012, 0.1472]]
}

[9]
{
  "formula": "MgCoPb2O",
  "functional": "GGA+U",
  "state": "relaxed",
  "n_ef_per_ev_atom": 1.364,
  "mass_density_g_cm3": 8.15,
  "energy_ev_per_atom": -3.960,
  "space_group": "P4/mmm, No. 123",
  "lattice_angstrom": [[5.2673, 0.0000, 0.0000], [0.0000, 5.2673, 0.0000], [0.0000, 0.0000, 3.7713]],
  "species": ["Mg", "Co", "Pb", "Pb", "O"],
  "frac_coords": [[0.0000, 0.0000, 0.0000], [0.5000, 0.5000, 0.0000], [0.0000, 0.5000, 0.5000], [0.5000, 0.0000, 0.5000], [0.0000, 0.0000, 0.5000]]
}

[10]
{
  "formula": "MgCoPdO4",
  "functional": "GGA+U",
  "state": "relaxed",
  "n_ef_per_ev_atom": 0.083,
  "mass_density_g_cm3": 5.26,
  "energy_ev_per_atom": -5.772,
  "space_group": "Imma, No. 74",
  "lattice_angstrom": [[-2.9669, 3.0508, 4.4255], [2.9669, -3.0508, 4.4255], [2.9669, 3.0508, -4.4255]],
  "species": ["Mg", "Mg", "Co", "Co", "Pd", "Pd", "O", "O", "O", "O", "O", "O", "O", "O"],
  "frac_coords": [[0.3934, 0.1434, 0.2500], [0.6066, 0.8566, 0.7500], [0.0000, 0.0000, 0.5000], [0.0000, 0.5000, 0.0000], [0.0000, 0.5000, 0.5000], [0.5000, 0.5000, 0.0000], [0.2115, 0.7306, 0.4809], [0.2486, 0.2674, 0.5189], [0.2486, 0.7297, 0.9811], [0.2504, 0.2694, 0.9809], [0.7496, 0.7306, 0.0191], [0.7514, 0.2703, 0.0189], [0.7514, 0.7326, 0.4811], [0.7885, 0.2694, 0.5191]]
}

[11]
{
  "formula": "Mg2CoPdO6",
  "functional": "GGA+U",
  "state": "relaxed",
  "n_ef_per_ev_atom": 0.313,
  "mass_density_g_cm3": 4.11,
  "energy_ev_per_atom": -5.388,
  "space_group": "P4mm, No. 99",
  "lattice_angstrom": [[5.4178, 0.0000, 0.0000], [0.0000, 5.4178, 0.0000], [0.0000, 0.0000, 4.2675]],
  "species": ["Mg", "Mg", "Co", "Pd", "O", "O", "O", "O", "O", "O"],
  "frac_coords": [[0.0000, 0.5000, 0.0000], [0.5000, 0.0000, 0.0000], [0.0000, 0.0000, 0.6817], [0.5000, 0.5000, 0.7328], [0.0000, 0.0000, 0.2886], [0.2436, 0.2436, 0.8264], [0.2436, 0.7564, 0.8264], [0.5000, 0.5000, 0.2667], [0.7564, 0.2436, 0.8264], [0.7564, 0.7564, 0.8264]]
}

[12]
{
  "formula": "PrMgCo2O6",
  "functional": "GGA+U",
  "state": "relaxed",
  "mass_density_g_cm3": 5.89,
  "energy_ev_per_atom": -6.408,
  "space_group": "Pc, No. 7",
  "lattice_angstrom": [[5.2455, 0.0000, 0.0000], [0.0000, 5.3686, 0.0000], [-5.2040, 0.0000, 7.5876]],
  "species": ["Pr", "Pr", "Mg", "Mg", "Co", "Co", "Co", "Co", "O", "O", "O", "O", "O", "O", "O", "O", "O", "O", "O", "O"],
  "frac_coords": [[0.0000, 0.2087, 0.0000], [0.0000, 0.7913, 0.5000], [0.5330, 0.3064, 0.4981], [0.5330, 0.6936, 0.9981], [0.2608, 0.2548, 0.7472], [0.2608, 0.7452, 0.2472], [0.7599, 0.2516, 0.2501], [0.7599, 0.7484, 0.7501], [0.1279, 0.2318, 0.4923], [0.1279, 0.7682, 0.9923], [0.4435, 0.2993, 0.0101], [0.4435, 0.7007, 0.5101], [0.5031, 0.0463, 0.3035], [0.5031, 0.9537, 0.8035], [0.5974, 0.4896, 0.8108], [0.5974, 0.5104, 0.3108], [0.8818, 0.0450, 0.6912], [0.8818, 0.9550, 0.1912], [0.9846, 0.4831, 0.2024], [0.9846, 0.5169, 0.7024]]
}